{
  "formula": "V4O7F5",
  "functional": "GGA+U",
  "state": "optimized geometry",
  "e_above_lowest_polymorph_ev_per_fu": 0.96,
  "sg": "P2 (3)",
  "e_tot_ry_per_atom": -0.49091,
  "cell": [[5.346, 0.000, 0.000], [0.000, 5.432, -0.019], [0.000, 0.250, 7.160]],
  "species": ["F", "O", "O", "V", "O", "F", "F", "O", "O", "F", "O", "F", "V", "V", "O", "V"],
  "frac_coords": [[0.299, 0.213, 0.790], [0.217, 0.298, 0.209], [0.954, 0.000, 0.000], [0.981, 0.045, 0.746], [0.798, 0.714, 0.284], [0.299, 0.787, 0.210], [0.712, 0.202, 0.287], [0.217, 0.702, 0.791], [0.798, 0.286, 0.716], [0.712, 0.798, 0.713], [0.067, 0.000, 0.500], [0.599, 0.500, 0.000], [0.466, 0.463, 0.255], [0.466, 0.537, 0.745], [0.433, 0.500, 0.500], [0.981, 0.955, 0.254]]
}